--- P ---
# Ba4Ta2O9

A geometry-optimized Ba4Ta2O9 structure (PBE, Alexandria via LeMat-Bulk).

a = 6.2617 Å, b = 6.2617 Å, c = 15.9257 Å
α = 90.00°, β = 90.00°, γ = 120.00°
Closest atoms and distances in Å follow each position.
Fractional coordinates of all 30 atoms:
Ba (0.3333, 0.6667, 0.0340)  3 O 2.66
Ba (0.3333, 0.6667, 0.2959)  6 O 2.56-2.73
Ba (0.3333, 0.6667, 0.5340)  3 O 2.66
Ba (0.3333, 0.6667, 0.7959)  6 O 2.56-2.73
Ba (0.6667, 0.3333, 0.2041)  6 O 2.56-2.73
Ba (0.6667, 0.3333, 0.4660)  3 O 2.66
Ba (0.6667, 0.3333, 0.7041)  6 O 2.56-2.73
Ba (0.6667, 0.3333, 0.9660)  3 O 2.66
Ta (0.0000, 0.0000, 0.1524)  6 O 1.94-2.14
Ta (0.0000, 0.0000, 0.3476)  6 O 1.94-2.14
Ta (0.0000, 0.0000, 0.6524)  6 O 1.94-2.14
Ta (0.0000, 0.0000, 0.8476)  6 O 1.94-2.14
O (0.0000, 0.2353, 0.2500)  2 Ta 2.14
O (0.0000, 0.7647, 0.7500)  2 Ta 2.14
O (0.0391, 0.2943, 0.9029)  1 Ta 1.94
O (0.0391, 0.7448, 0.4029)  1 Ta 1.94
O (0.2353, 0.0000, 0.2500)  2 Ta 2.14
O (0.2353, 0.2353, 0.7500)  2 Ta 2.14
O (0.2552, 0.2943, 0.4029)  1 Ta 1.94
O (0.2552, 0.9609, 0.9029)  1 Ta 1.94
O (0.2943, 0.0391, 0.5971)  1 Ta 1.94
O (0.2943, 0.2552, 0.0971)  1 Ta 1.94
O (0.7057, 0.7448, 0.9029)  1 Ta 1.94
O (0.7057, 0.9609, 0.4029)  1 Ta 1.94
O (0.7448, 0.0391, 0.0971)  1 Ta 1.94
O (0.7448, 0.7057, 0.5971)  1 Ta 1.94
O (0.7647, 0.0000, 0.7500)  2 Ta 2.14
O (0.7647, 0.7647, 0.2500)  2 Ta 2.14
O (0.9609, 0.2552, 0.5971)  1 Ta 1.94
O (0.9609, 0.7057, 0.0971)  1 Ta 1.94

--- Q ---
# Ba4Ta2O9

A geometry-optimized Ba4Ta2O9 structure (PBE, Alexandria via LeMat-Bulk).

a = 6.0161 Å, b = 6.0161 Å, c = 16.4286 Å
α = 90.44°, β = 90.44°, γ = 61.11°
Closest atoms and distances in Å follow each position.
Fractional coordinates of all 30 atoms:
Ba (0.0000, 0.0000, 0.0000)  6 O 2.62-2.65
Ba (0.0000, 0.0000, 0.5000)  6 O 2.62-2.65
Ba (0.0120, 0.9880, 0.7500)  7 O 2.78-2.94
Ba (0.3214, 0.3477, 0.3824)  6 O 2.65-2.85
Ba (0.3477, 0.3214, 0.8824)  6 O 2.65-2.85
Ba (0.6523, 0.6786, 0.1176)  6 O 2.65-2.85
Ba (0.6786, 0.6523, 0.6176)  6 O 2.65-2.85
Ba (0.9880, 0.0120, 0.2500)  7 O 2.78-2.94
Ta (0.3209, 0.3430, 0.1678)  4 O 1.89-2.08
Ta (0.3430, 0.3209, 0.6678)  4 O 1.89-2.08
Ta (0.6570, 0.6791, 0.3322)  4 O 1.89-2.08
Ta (0.6791, 0.6570, 0.8322)  4 O 1.89-2.08
O (0.0295, 0.4530, 0.7439)  1 Ta 2.08
O (0.0942, 0.2546, 0.1125)  1 Ta 1.91
O (0.1715, 0.5986, 0.5961)  1 Ta 1.89
O (0.1895, 0.6758, 0.1198)  1 Ta 1.93
O (0.2546, 0.0942, 0.6125)  1 Ta 1.91
O (0.3242, 0.8105, 0.3802)  1 Ta 1.93
O (0.4014, 0.8285, 0.9039)  1 Ta 1.89
O (0.4530, 0.0295, 0.2439)  1 Ta 2.08
O (0.4762, 0.5238, 0.7500)  2 Ta 2.20
O (0.5238, 0.4762, 0.2500)  2 Ta 2.20
O (0.5470, 0.9705, 0.7561)  1 Ta 2.08
O (0.5986, 0.1715, 0.0961)  1 Ta 1.89
O (0.6758, 0.1895, 0.6198)  1 Ta 1.93
O (0.7454, 0.9058, 0.3875)  1 Ta 1.91
O (0.8105, 0.3242, 0.8802)  1 Ta 1.93
O (0.8285, 0.4014, 0.4039)  1 Ta 1.89
O (0.9058, 0.7454, 0.8875)  1 Ta 1.91
O (0.9705, 0.5470, 0.2561)  1 Ta 2.08

--- R ---
# Ba4Ta2O9

A geometry-optimized Ba4Ta2O9 structure (PBE, Alexandria via LeMat-Bulk).

a = 6.1708 Å, b = 6.1708 Å, c = 16.6976 Å
α = 90.00°, β = 90.00°, γ = 120.00°
Closest atoms and distances in Å follow each position.
Fractional coordinates of all 30 atoms:
Ba (0.0000, 0.0000, 0.0000)  6 O 2.67
Ba (0.0000, 0.0000, 0.2500)  9 O 2.77-3.08
Ba (0.0000, 0.0000, 0.5000)  6 O 2.67
Ba (0.0000, 0.0000, 0.7500)  9 O 2.77-3.08
Ba (0.3333, 0.6667, 0.1344)  6 O 2.68-2.82
Ba (0.3333, 0.6667, 0.3656)  6 O 2.68-2.82
Ba (0.6667, 0.3333, 0.6344)  6 O 2.68-2.82
Ba (0.6667, 0.3333, 0.8656)  6 O 2.68-2.82
Ta (0.3333, 0.6667, 0.6594)  3 O 1.91
Ta (0.3333, 0.6667, 0.8406)  3 O 1.91
Ta (0.6667, 0.3333, 0.1594)  3 O 1.91
Ta (0.6667, 0.3333, 0.3406)  3 O 1.91
O (0.0473, 0.5761, 0.7500)  2 Ta 2.17
O (0.1070, 0.3583, 0.6079)  1 Ta 1.91
O (0.1070, 0.3583, 0.8921)  1 Ta 1.91
O (0.2513, 0.8930, 0.6079)  1 Ta 1.91
O (0.2513, 0.8930, 0.8921)  1 Ta 1.91
O (0.3583, 0.2513, 0.1079)  1 Ta 1.91
O (0.3583, 0.2513, 0.3921)  1 Ta 1.91
O (0.4239, 0.4712, 0.7500)  2 Ta 2.17
O (0.4712, 0.0473, 0.2500)  2 Ta 2.17
O (0.5288, 0.9527, 0.7500)  2 Ta 2.17
O (0.5761, 0.5288, 0.2500)  2 Ta 2.17
O (0.6417, 0.7487, 0.6079)  1 Ta 1.91
O (0.6417, 0.7487, 0.8921)  1 Ta 1.91
O (0.7487, 0.1070, 0.1079)  1 Ta 1.91
O (0.7487, 0.1070, 0.3921)  1 Ta 1.91
O (0.8930, 0.6417, 0.1079)  1 Ta 1.91
O (0.8930, 0.6417, 0.3921)  1 Ta 1.91
O (0.9527, 0.4239, 0.2500)  2 Ta 2.17

Compare the structures above. Which one is the most stable? R is.